TbDyTm4 | Alexandria | PBE | optimized geometry; energy = -4.438 eV per atom; energy of formation from the pure elements = 47 kJ/mol of formula units; D(E_F) = 10.7 states/eV/cell
1.0
3.311 -0.912 0.001
-1.836 6.253 0.001
-0.002 -0.002 9.595
Tm Dy Tb
4 1 1
direct
0.497 0.001 0.168
0.497 0.001 0.836
0.997 0.501 0.669
0.997 0.501 0.335
0.497 0.501 0.002
0.997 0.001 0.502



LaHoAg2Te4 | Alexandria | PBE | optimized geometry; energy = -4.257 eV per atom; D(E_F) = 1.0 states/eV/cell
1.0
7.590 0.000 0.000
3.795 5.799 0.099
3.795 0.574 5.772
Te Ag Ho La
4 2 1 1
direct
0.911 0.554 0.080
0.545 0.446 0.920
0.089 0.920 0.446
0.455 0.080 0.554
0.838 0.662 0.662
0.162 0.338 0.338
0.500 0.500 0.500
0.000 0.000 0.000